Run A
Entry from the Open Quantum Materials Database: crystalline ErNbPd at its relaxed geometry (GGA-PBE).

Geometry as POSCAR:
```
ErNbPd
1.0
0.000 3.268 3.268
3.268 0.000 3.268
3.268 3.268 0.000
Er Nb Pd
1 1 1
direct
0.000 0.000 0.000
0.750 0.750 0.750
0.250 0.250 0.250
```

---

Run B
Entry from the Open Quantum Materials Database: crystalline ErNbPd at its relaxed geometry (GGA-PBE).

Geometry as POSCAR:
```
ErNbPd
1.0
0.000 3.250 3.250
3.250 0.000 3.250
3.250 3.250 0.000
Er Nb Pd
1 1 1
direct
0.000 0.000 0.000
0.500 0.500 0.500
0.250 0.250 0.250
```

---

Energies, relative to the best one, in meV/atom: run A 662; run B 0.

---

Run A
Entry from the Open Quantum Materials Database: crystalline ErNbPt at its relaxed geometry (GGA-PBE).

Geometry as POSCAR:
```
ErNbPt
1.0
0.000 3.254 3.254
3.254 0.000 3.254
3.254 3.254 0.000
Er Nb Pt
1 1 1
direct
0.000 0.000 0.000
0.500 0.500 0.500
0.250 0.250 0.250
```

---

Run B
Entry from the Open Quantum Materials Database: crystalline ErNbPt at its relaxed geometry (GGA-PBE).

Geometry as POSCAR:
```
ErNbPt
1.0
0.000 3.256 3.256
3.256 0.000 3.256
3.256 3.256 0.000
Er Nb Pt
1 1 1
direct
0.000 0.000 0.000
0.750 0.750 0.750
0.250 0.250 0.250
```

---

Energies, relative to the best one, in meV/atom: run A 0; run B 823.

---

Run A
Entry from the Open Quantum Materials Database: crystalline Nd2Er at its relaxed geometry (GGA-PBE).

Geometry as POSCAR:
```
Nd2Er
1.0
0.000 4.700 4.700
4.700 0.000 4.700
4.700 4.700 0.000
Nd Er
4 2
direct
0.000 0.000 0.000
0.000 0.000 0.500
0.000 0.500 0.000
0.500 0.000 0.000
0.375 0.375 0.375
0.625 0.625 0.625
```

---

Run B
Entry from the Open Quantum Materials Database: crystalline Nd2Er at its relaxed geometry (GGA-PBE).

Geometry as POSCAR:
```
Nd2Er
1.0
0.000 6.469 6.469
6.469 0.000 6.469
6.469 6.469 0.000
Nd Er
4 2
direct
0.000 0.000 0.000
0.000 0.000 0.500
0.000 0.500 0.000
0.500 0.000 0.000
0.125 0.125 0.125
0.875 0.875 0.875
```

---

Energies, relative to the best one, in meV/atom: run A 0; run B 1984.

---

Run A
Entry from the Open Quantum Materials Database: crystalline NdErNi4 at its relaxed geometry (GGA-PBE).

Geometry as POSCAR:
```
NdErNi4
1.0
5.406 0.000 0.000
-2.703 4.681 0.000
0.000 0.000 7.984
Nd Er Ni
2 2 8
direct
0.000 0.000 0.000
0.000 0.000 0.500
0.333 0.667 0.000
0.667 0.333 0.000
0.000 0.500 0.271
0.000 0.500 0.729
0.333 0.667 0.500
0.500 0.000 0.271
0.500 0.000 0.729
0.500 0.500 0.271
0.500 0.500 0.729
0.667 0.333 0.500
```

---

Run B
Entry from the Open Quantum Materials Database: crystalline NdErNi4 at its relaxed geometry (GGA-PBE).

Geometry as POSCAR:
```
NdErNi4
1.0
0.000 3.599 3.599
3.599 0.000 3.599
3.599 3.599 0.000
Nd Er Ni
1 1 4
direct
0.000 0.000 0.000
0.250 0.250 0.250
0.128 0.624 0.624
0.624 0.128 0.624
0.624 0.624 0.128
0.624 0.624 0.624
```

---

Energies, relative to the best one, in meV/atom: run A 343; run B 0.

---

Run A
Entry from the Open Quantum Materials Database: crystalline Nd2Er2O5 at its relaxed geometry (GGA-PBE).

Geometry as POSCAR:
```
Nd2Er2O5
1.0
4.288 0.000 0.000
0.000 4.288 0.000
0.000 0.000 7.663
Nd Er O
2 2 5
direct
0.000 0.000 0.000
0.000 0.000 0.500
0.500 0.500 0.229
0.500 0.500 0.771
0.000 0.500 0.243
0.000 0.500 0.757
0.500 0.000 0.243
0.500 0.000 0.757
0.500 0.500 0.500
```

---

Run B
Entry from the Open Quantum Materials Database: crystalline Nd2Er2O5 at its relaxed geometry (GGA-PBE).

Geometry as POSCAR:
```
Nd2Er2O5
1.0
3.867 0.000 0.000
0.000 3.867 0.000
0.000 0.000 10.261
Nd Er O
2 2 5
direct
0.000 0.000 0.238
0.000 0.000 0.762
0.500 0.500 0.000
0.500 0.500 0.500
0.000 0.000 0.500
0.000 0.500 0.131
0.000 0.500 0.869
0.500 0.000 0.131
0.500 0.000 0.869
```

---

Energies, relative to the best one, in meV/atom: run A 0; run B 39.

---

Run A
Entry from the Open Quantum Materials Database: crystalline Nd3Er3Te2Os at its relaxed geometry (GGA-PBE).

Geometry as POSCAR:
```
Nd3Er3Te2Os
1.0
8.406 0.000 0.000
-4.203 7.280 0.000
0.000 0.000 4.111
Nd Er Te Os
3 3 2 1
direct
0.000 0.602 0.000
0.398 0.398 0.000
0.602 0.000 0.000
0.000 0.233 0.500
0.233 0.000 0.500
0.767 0.767 0.500
0.333 0.667 0.500
0.667 0.333 0.500
0.000 0.000 0.000
```

---

Run B
Entry from the Open Quantum Materials Database: crystalline Nd3Er3Te2Os at its relaxed geometry (GGA-PBE).

Geometry as POSCAR:
```
Nd3Er3Te2Os
1.0
8.497 0.000 0.000
-4.249 7.359 0.000
0.000 0.000 4.016
Nd Er Te Os
3 3 2 1
direct
0.000 0.246 0.000
0.246 0.000 0.000
0.754 0.754 0.000
0.000 0.605 0.500
0.395 0.395 0.500
0.605 0.000 0.500
0.333 0.667 0.000
0.667 0.333 0.000
0.000 0.000 0.500
```

---

Energies, relative to the best one, in meV/atom: run A 0; run B 161.